ZrBi3Mo | PBE | optimized geometry

E above lowest polymorph ... 0 meV/atom
Size of the total moment ... 2.99 μB/f.u.
Energy of formation ... 939 meV/atom
Raw total energy ... -5.27 eV/atom

abc: 5.3879 5.3879 5.3879
angles: 90.00 90.00 90.00
With the nearest neighbours (Å) after each atom.
Space group Pm-3m (No. 221)
One atom of each set of equivalent atoms:
Zr: 0.0000 0.0000 0.0000 x1  12 Bi 3.81
Bi: 0.0000 0.5000 0.5000 x3  2 Mo 2.69
Mo: 0.5000 0.5000 0.5000 x1  6 Bi 2.69

Zr12Bi6Mo | PBE | optimized geometry

Size of the total moment ... 0.00 μB/f.u.
Energy of formation ... 57 meV/atom
Raw total energy ... -7.14 eV/atom

abc: 12.6519 12.6519 10.8583
angles: 90.00 90.00 120.00
With the nearest neighbours (Å) after each atom.
Space group R-3 (No. 148, hexagonal axes)
One atom of each set of equivalent atoms:
Zr: 0.0245 0.1579 0.3725 x18  4 Bi 2.96-3.23, 3 Zr 3.13-3.23
Zr: 0.0757 0.1978 0.8746 x18  1 Mo 2.58
Bi: 0.0307 0.2921 0.6278 x18  7 Zr 2.93-3.23
Mo: 0.0000 0.0000 0.0000 x3  6 Zr 2.58

Bi4N | PBE | optimized geometry

Size of the total moment ... 0.00 μB/f.u.
Energy relative to the elements, uncorrected ... 487.9 meV/atom
Raw total energy ... -4.28 eV/atom

abc: 5.0581 5.0581 5.0581
angles: 90.00 90.00 90.00
With the nearest neighbours (Å) after each atom.
Space group Pm-3m (No. 221)
One atom of each set of equivalent atoms:
Bi: 0.0000 0.0000 0.0000 x1  12 Bi 3.58
Bi: 0.0000 0.5000 0.5000 x3  2 N 2.53
N: 0.5000 0.5000 0.5000 x1  6 Bi 2.53

BiN2 | PBE | optimized geometry

Size of the total moment ... 0.00 μB/f.u.
Energy relative to the elements, uncorrected ... 222.2 meV/atom
Raw total energy ... -6.62 eV/atom

abc: 3.2104 3.3832 9.8417
angles: 82.87 81.00 62.77
With the nearest neighbours (Å) after each atom.
Space group P1 (No. 1)
One atom of each set of equivalent atoms:
Bi: 0.0000 0.0000 0.0000 x1  6 Bi 3.21-3.44
N: 0.0445 0.4858 0.4414 x1  1 N 1.11
N: 0.9742 0.5155 0.5551 x1  1 N 1.11

Na2BiN | PBE | optimized geometry

E above lowest polymorph ... 466 meV/atom
Size of the total moment ... 0.00 μB/f.u.
Energy relative to the elements, uncorrected ... 851.3 meV/atom
Raw total energy ... -2.86 eV/atom

abc: 6.9299 6.9299 6.9299
angles: 90.00 90.00 90.00
With the nearest neighbours (Å) after each atom.
Space group Fm-3m (No. 225)
One atom of each set of equivalent atoms:
Na: 0.2500 0.2500 0.2500 x8  4 Bi 3.00, 4 N 3.00
Bi: 0.0000 0.0000 0.0000 x4  8 Na 3.00
N: 0.0000 0.0000 0.5000 x4  8 Na 3.00

Na3BiN | PBE | optimized geometry

Size of the total moment ... 0.00 μB/f.u.
Energy relative to the elements, uncorrected ... 333.9 meV/atom
Raw total energy ... -2.90 eV/atom

abc: 4.8391 4.8391 4.8391
angles: 90.00 90.00 90.00
With the nearest neighbours (Å) after each atom.
Space group Pm-3m (No. 221)
One atom of each set of equivalent atoms:
Na: 0.0000 0.0000 0.5000 x3  2 N 2.42
Bi: 0.5000 0.5000 0.5000 x1  12 Na 3.42
N: 0.0000 0.0000 0.0000 x1  6 Na 2.42

Na2BiN | PBE | optimized geometry

E above lowest polymorph ... 0 meV/atom
Size of the total moment ... 0.77 μB/f.u.
Energy relative to the elements, uncorrected ... 385.7 meV/atom
Raw total energy ... -3.33 eV/atom

abc: 9.0978 9.0978 4.7953
angles: 90.00 90.00 90.00
With the nearest neighbours (Å) after each atom.
Space group I-42d (No. 122)
One atom of each set of equivalent atoms:
Na: 0.1004 0.7500 0.1250 x8  2 N 2.52
Bi: 0.0000 0.0000 0.5000 x4  2 N 2.40
N: 0.0000 0.0000 0.0000 x4  2 Bi 2.40, 4 Na 2.52

Na2BiN2 | PBE | optimized geometry

E above lowest polymorph ... 0 meV/atom
Size of the total moment ... 1.03 μB/f.u.
Energy relative to the elements, uncorrected ... 1073.6 meV/atom
Raw total energy ... -3.56 eV/atom

abc: 4.4305 4.4305 8.1074
angles: 90.00 90.00 90.00
With the nearest neighbours (Å) after each atom.
Space group I4/mmm (No. 139)
One atom of each set of equivalent atoms:
Na: 0.0000 0.0000 0.1525 x4  4 N 2.35, 1 Na 2.47
Bi: 0.0000 0.0000 0.5000 x2  2 Na 2.82, 8 N 3.00
N: 0.0000 0.5000 0.2500 x4  4 Na 2.35

NaBi4N2 | PBE | optimized geometry

Size of the total moment ... 0.00 μB/f.u.
Energy relative to the elements, uncorrected ... 348.5 meV/atom
Raw total energy ... -4.44 eV/atom

abc: 21.8658 3.5748 4.6637
angles: 90.00 102.18 90.00
With the nearest neighbours (Å) after each atom.
Space group C2/m (No. 12)
One atom of each set of equivalent atoms:
Na: 0.0000 0.0000 0.0000 x2  8 Bi 3.30, 2 Na 3.57
Bi: 0.0707 0.5000 0.5701 x4  1 Bi 3.02, 4 Na 3.30
Bi: 0.2006 0.0000 0.2011 x4  4 N 2.26-2.44
N: 0.2350 0.0000 0.7351 x4  4 Bi 2.26-2.44

Na2BiN2 | PBE | optimized geometry

E above lowest polymorph ... 15 meV/atom
Size of the total moment ... 0.00 μB/f.u.
Energy relative to the elements, uncorrected ... 1088.2 meV/atom
Raw total energy ... -3.55 eV/atom

abc: 7.1418 7.1418 2.9448
angles: 90.00 90.00 90.00
With the nearest neighbours (Å) after each atom.
Space group P4/mbm (No. 127)
One atom of each set of equivalent atoms:
Na: 0.1151 0.3849 0.0000 x4  1 Na 2.32, 2 N 2.47
Bi: 0.0000 0.0000 0.0000 x2  4 Na 2.87, 2 Bi 2.94, 8 N 2.99
N: 0.1886 0.6886 0.5000 x4  6 Na 2.47-2.67

NaBiN2O | PBE | optimized geometry

Size of the total moment ... 4.00 μB/f.u.
Energy relative to the elements, uncorrected ... 1418.6 meV/atom
Raw total energy ... -3.94 eV/atom

abc: 4.2233 4.2233 4.0870
angles: 90.00 90.00 90.00
With the nearest neighbours (Å) after each atom.
Space group P4/mmm (No. 123)
One atom of each set of equivalent atoms:
Na: 0.0000 0.0000 0.0000 x1  2 O 2.04, 4 N 2.11
Bi: 0.5000 0.5000 0.5000 x1  8 N 2.94, 4 O 2.99
N: 0.0000 0.5000 0.0000 x2  2 Na 2.11
O: 0.0000 0.0000 0.5000 x1  2 Na 2.04

NaBiNO2 | PBE | optimized geometry

Size of the total moment ... 3.00 μB/f.u.
Energy relative to the elements, uncorrected ... 654.9 meV/atom
Raw total energy ... -4.03 eV/atom

abc: 4.1227 4.1227 4.0940
angles: 90.00 90.00 90.00
With the nearest neighbours (Å) after each atom.
Space group P4/mmm (No. 123)
One atom of each set of equivalent atoms:
Na: 0.0000 0.0000 0.0000 x1  2 N 2.05, 4 O 2.06
Bi: 0.5000 0.5000 0.5000 x1  8 O 2.91, 4 N 2.92
N: 0.0000 0.0000 0.5000 x1  2 Na 2.05
O: 0.0000 0.5000 0.0000 x2  2 Na 2.06

NaBiNO2 | PBE | optimized geometry

Size of the total moment ... 1.26 μB/f.u.
Energy relative to the elements, uncorrected ... -75.7 meV/atom
Raw total energy ... -4.76 eV/atom

abc: 4.2862 4.2862 4.3881
angles: 90.00 90.00 90.00
With the nearest neighbours (Å) after each atom.
Space group P4/mmm (No. 123)
One atom of each set of equivalent atoms:
Na: 0.0000 0.0000 0.0000 x1  4 N 3.03, 8 O 3.07
Bi: 0.5000 0.5000 0.5000 x1  4 O 2.14, 2 N 2.19
N: 0.5000 0.5000 0.0000 x1  2 Bi 2.19
O: 0.0000 0.5000 0.5000 x2  2 Bi 2.14

NaBiN2O | PBE | optimized geometry

Size of the total moment ... 2.31 μB/f.u.
Energy relative to the elements, uncorrected ... 786.3 meV/atom
Raw total energy ... -4.58 eV/atom

abc: 4.4273 4.4273 4.3274
angles: 90.00 90.00 90.00
With the nearest neighbours (Å) after each atom.
Space group P4/mmm (No. 123)
One atom of each set of equivalent atoms:
Na: 0.0000 0.0000 0.0000 x1  8 N 3.10, 4 O 3.13
Bi: 0.5000 0.5000 0.5000 x1  2 O 2.16, 4 N 2.21
N: 0.0000 0.5000 0.5000 x2  2 Bi 2.21
O: 0.5000 0.5000 0.0000 x1  2 Bi 2.16

NaPa4BiN8 | PBE | optimized geometry

Size of the total moment ... 0.00 μB/f.u.
Energy relative to the elements, uncorrected ... -1054.4 meV/atom
Raw total energy ... -8.90 eV/atom

abc: 7.1153 7.1153 16.8579
angles: 90.00 90.00 120.00
With the nearest neighbours (Å) after each atom.
Space group R3m (No. 160, hexagonal axes)
One atom of each set of equivalent atoms:
Na: 0.0000 0.0000 0.0000 x3  4 N 2.50-2.57
Pa: 0.0000 0.0000 0.2366 x3  4 N 2.18-2.40
Pa: 0.1700 0.3400 0.4528 x9  6 N 2.22-2.44
Bi: 0.0000 0.0000 0.6286 x3  3 N 2.32
N: 0.0000 0.0000 0.3788 x3  4 Pa 2.40-2.44
N: 0.0000 0.0000 0.8473 x3  3 Pa 2.26
N: 0.0041 0.5020 0.8562 x9  3 Pa 2.18-2.40
N: 0.0474 0.5237 0.3852 x9  2 Pa 2.22, 1 Bi 2.32

Na2BiPtN | PBE | optimized geometry

Size of the total moment ... 0.20 μB/f.u.
Energy relative to the elements, uncorrected ... 956.7 meV/atom
Raw total energy ... -3.22 eV/atom

abc: 5.4218 5.4218 5.0461
angles: 90.00 90.00 90.00
With the nearest neighbours (Å) after each atom.
Space group P4/mmm (No. 123)
One atom of each set of equivalent atoms:
Na: 0.0000 0.5000 0.0000 x2  2 Pt 2.71
Bi: 0.0000 0.0000 0.5000 x1  2 Pt 2.52
Pt: 0.0000 0.0000 0.0000 x1  2 Bi 2.52, 4 Na 2.71
N: 0.5000 0.5000 0.5000 x1  8 Na 3.70, 4 Bi 3.83

Na2ReBiN | PBE | optimized geometry

Size of the total moment ... 3.19 μB/f.u.
Energy relative to the elements, uncorrected ... 1153.8 meV/atom
Raw total energy ... -4.30 eV/atom

abc: 4.5085 4.5085 4.9187
angles: 90.00 90.00 90.00
With the nearest neighbours (Å) after each atom.
Space group P4/mmm (No. 123)
One atom of each set of equivalent atoms:
Na: 0.0000 0.5000 0.0000 x2  2 N 2.25
Re: 0.0000 0.0000 0.5000 x1  4 Bi 3.19, 8 Na 3.34
Bi: 0.5000 0.5000 0.5000 x1  2 N 2.46
N: 0.5000 0.5000 0.0000 x1  4 Na 2.25, 2 Bi 2.46

NaBiSN2 | PBE | optimized geometry

E above lowest polymorph ... 0 meV/atom
Size of the total moment ... 2.91 μB/f.u.
Energy relative to the elements, uncorrected ... 1067.2 meV/atom
Raw total energy ... -4.13 eV/atom

abc: 4.4929 4.4929 5.4155
angles: 90.00 90.00 90.00
With the nearest neighbours (Å) after each atom.
Space group P4/mmm (No. 123)
One atom of each set of equivalent atoms:
Na: 0.0000 0.0000 0.0000 x1  4 S 3.18, 8 N 3.52
Bi: 0.5000 0.5000 0.5000 x1  4 N 2.25
S: 0.5000 0.5000 0.0000 x1  2 Bi 2.71
N: 0.0000 0.5000 0.5000 x2  2 Bi 2.25

NaBiS2N | PBE | optimized geometry

E above lowest polymorph ... 0 meV/atom
Size of the total moment ... 2.18 μB/f.u.
Energy relative to the elements, uncorrected ... 524.8 meV/atom
Raw total energy ... -3.83 eV/atom

abc: 5.3074 5.3074 4.6023
angles: 90.00 90.00 90.00
With the nearest neighbours (Å) after each atom.
Space group P4/mmm (No. 123)
One atom of each set of equivalent atoms:
Na: 0.0000 0.0000 0.0000 x1  8 S 3.51, 4 N 3.75
Bi: 0.5000 0.5000 0.5000 x1  2 N 2.30
S: 0.0000 0.5000 0.5000 x2  2 Bi 2.65
N: 0.5000 0.5000 0.0000 x1  2 Bi 2.30

NaBiS2N | PBE | optimized geometry

E above lowest polymorph ... 475 meV/atom
Size of the total moment ... 3.04 μB/f.u.
Energy relative to the elements, uncorrected ... 999.8 meV/atom
Raw total energy ... -3.36 eV/atom

abc: 5.0643 5.0643 4.1742
angles: 90.00 90.00 90.00
With the nearest neighbours (Å) after each atom.
Space group P4/mmm (No. 123)
One atom of each set of equivalent atoms:
Na: 0.0000 0.0000 0.0000 x1  2 N 2.09
Bi: 0.5000 0.5000 0.5000 x1  8 S 3.28, 4 N 3.58
S: 0.0000 0.5000 0.0000 x2  2 Na 2.53
N: 0.0000 0.0000 0.5000 x1  2 Na 2.09

NaBiSN2 | PBE | optimized geometry

E above lowest polymorph ... 566 meV/atom
Size of the total moment ... 4.01 μB/f.u.
Energy relative to the elements, uncorrected ... 1633.5 meV/atom
Raw total energy ... -3.56 eV/atom

abc: 4.3470 4.3470 5.0234
angles: 90.00 90.00 90.00
With the nearest neighbours (Å) after each atom.
Space group P4/mmm (No. 123)
One atom of each set of equivalent atoms:
Na: 0.0000 0.0000 0.0000 x1  4 N 2.17
Bi: 0.5000 0.5000 0.5000 x1  4 S 3.07, 8 N 3.32
S: 0.0000 0.0000 0.5000 x1  2 Na 2.51
N: 0.0000 0.5000 0.0000 x2  2 Na 2.17

NaBiSe2N | PBE | optimized geometry

E above lowest polymorph ... 459 meV/atom
Size of the total moment ... 2.99 μB/f.u.
Energy relative to the elements, uncorrected ... 920.6 meV/atom
Raw total energy ... -3.18 eV/atom

abc: 5.3000 5.3000 4.2482
angles: 90.00 90.00 90.00
With the nearest neighbours (Å) after each atom.
Space group P4/mmm (No. 123)
One atom of each set of equivalent atoms:
Na: 0.0000 0.0000 0.0000 x1  2 N 2.12
Bi: 0.5000 0.5000 0.5000 x1  8 Se 3.40, 4 N 3.75
Se: 0.0000 0.5000 0.0000 x2  2 Na 2.65
N: 0.0000 0.0000 0.5000 x1  2 Na 2.12

NaBiSe2N | PBE | optimized geometry

E above lowest polymorph ... 0 meV/atom
Size of the total moment ... 0.00 μB/f.u.
Energy relative to the elements, uncorrected ... 461.2 meV/atom
Raw total energy ... -3.64 eV/atom

abc: 4.8022 4.8022 4.6931
angles: 90.00 90.00 90.00
With the nearest neighbours (Å) after each atom.
Space group P4/mmm (No. 123)
One atom of each set of equivalent atoms:
Na: 0.0000 0.0000 0.0000 x1  8 Se 3.36, 4 Bi 3.40
Bi: 0.5000 0.5000 0.0000 x1  2 N 2.35
Se: 0.0000 0.5000 0.5000 x2  2 N 2.40
N: 0.5000 0.5000 0.5000 x1  2 Bi 2.35, 4 Se 2.40

NaBiSe2N | PBE | optimized geometry

E above lowest polymorph ... 39 meV/atom
Size of the total moment ... 2.14 μB/f.u.
Energy relative to the elements, uncorrected ... 500.3 meV/atom
Raw total energy ... -3.60 eV/atom

abc: 5.5993 5.5993 4.6348
angles: 90.00 90.00 90.00
With the nearest neighbours (Å) after each atom.
Space group P4/mmm (No. 123)
One atom of each set of equivalent atoms:
Na: 0.0000 0.0000 0.0000 x1  8 Se 3.63, 4 N 3.96
Bi: 0.5000 0.5000 0.5000 x1  2 N 2.32
Se: 0.0000 0.5000 0.5000 x2  2 Bi 2.80
N: 0.5000 0.5000 0.0000 x1  2 Bi 2.32

NaSr2BiN | PBE | optimized geometry

Size of the total moment ... 0.66 μB/f.u.
Energy relative to the elements, uncorrected ... -517.7 meV/atom
Raw total energy ... -3.90 eV/atom

abc: 5.2225 5.2225 4.9666
angles: 90.00 90.00 90.00
With the nearest neighbours (Å) after each atom.
Space group P4/mmm (No. 123)
One atom of each set of equivalent atoms:
Na: 0.0000 0.0000 0.0000 x1  2 N 2.48
Sr: 0.0000 0.5000 0.5000 x2  2 N 2.61
Bi: 0.5000 0.5000 0.0000 x1  8 Sr 3.60, 4 Na 3.69
N: 0.0000 0.0000 0.5000 x1  2 Na 2.48, 4 Sr 2.61

NaTaBiN2 | PBE | optimized geometry

Size of the total moment ... 1.30 μB/f.u.
Energy relative to the elements, uncorrected ... 2411.0 meV/atom
Raw total energy ... -4.33 eV/atom

abc: 4.2123 4.2123 4.9347
angles: 90.00 90.00 90.00
With the nearest neighbours (Å) after each atom.
Space group P4/mmm (No. 123)
One atom of each set of equivalent atoms:
Na: 0.0000 0.0000 0.0000 x1  4 N 2.11
Ta: 0.0000 0.0000 0.5000 x1  2 Na 2.47
Bi: 0.5000 0.5000 0.5000 x1  4 Ta 2.98, 8 N 3.24
N: 0.0000 0.5000 0.0000 x2  2 Na 2.11

NaTa2BiN | PBE | optimized geometry

Size of the total moment ... 0.99 μB/f.u.
Energy relative to the elements, uncorrected ... 2434.7 meV/atom
Raw total energy ... -5.01 eV/atom

abc: 5.3957 5.3957 4.4938
angles: 90.00 90.00 90.00
With the nearest neighbours (Å) after each atom.
Space group P4/mmm (No. 123)
One atom of each set of equivalent atoms:
Na: 0.0000 0.0000 0.0000 x1  8 Ta 3.51, 4 N 3.82
Ta: 0.0000 0.5000 0.5000 x2  2 Bi 2.70
Bi: 0.5000 0.5000 0.5000 x1  2 N 2.25
N: 0.5000 0.5000 0.0000 x1  2 Bi 2.25